No. 1
Compound: CdPbBr2
Source: the Alexandria database
Functional: PBE-GGA
Structure: relaxed

Properties
Uncorrected formation energy (meV per atom): -387
Total magnetization (Bohr magnetons per cell): 0.000
Excess energy over the best structure of this formula in the dataset (meV/atom): 151
Calculated density (g/cm3): 6.12
Space group: C2/m (12)

a b c (Å): 5.5470 5.5470 5.5381
angles (deg): 112.99 112.99 102.46
With the nearest neighbours (Å) after each atom.
Element x y z (fractional)
Cd 0.0000 0.0000 0.0000  4 Br 3.06
Pb 0.5000 0.5000 0.0000  4 Br 3.06
Br 0.0000 0.5000 0.5000  2 Cd 3.06, 2 Pb 3.06
Br 0.5000 0.0000 0.5000  2 Cd 3.06, 2 Pb 3.06

---

No. 2
Compound: Ba5Ga2Ag2
Source: the Alexandria database
Functional: PBE-GGA
Structure: relaxed

Properties
Formation enthalpy at 0 K (kJ/mol of atoms): -25.1
Total magnetization (Bohr magnetons per cell): 0.000
Calculated density (g/cm3): 4.92
Space group: Cmce (64)

a b c (Å): 10.1260 10.1260 8.8319
angles (deg): 90.00 90.00 50.95
With the nearest neighbours (Å) after each atom.
Element x y z (fractional)
Ba 0.0000 0.0000 0.0000  4 Ga 3.58-3.60, 2 Ag 3.72
Ba 0.0318 0.6892 0.6719  3 Ag 3.45-3.57, 3 Ga 3.54-3.78
Ba 0.1892 0.5318 0.1719  3 Ag 3.45-3.57, 3 Ga 3.54-3.78
Ba 0.3108 0.9682 0.6719  3 Ag 3.45-3.57, 3 Ga 3.54-3.78
Ba 0.4682 0.8108 0.1719  3 Ag 3.45-3.57, 3 Ga 3.54-3.78
Ba 0.5000 0.5000 0.5000  4 Ga 3.58-3.60, 2 Ag 3.72
Ba 0.5318 0.1892 0.8281  3 Ag 3.45-3.57, 3 Ga 3.54-3.78
Ba 0.6892 0.0318 0.3281  3 Ag 3.45-3.57, 3 Ga 3.54-3.78
Ba 0.8108 0.4682 0.8281  3 Ag 3.45-3.57, 3 Ga 3.54-3.78
Ba 0.9682 0.3108 0.3281  3 Ag 3.45-3.57, 3 Ga 3.54-3.78
Ga 0.1028 0.8972 0.3950  1 Ga 2.58
Ga 0.3972 0.6028 0.8950  1 Ga 2.58
Ga 0.6028 0.3972 0.1050  1 Ga 2.58
Ga 0.8972 0.1028 0.6050  1 Ga 2.58
Ag 0.2036 0.2036 0.0000  7 Ba 3.45-3.72
Ag 0.2964 0.2964 0.5000  7 Ba 3.45-3.72
Ag 0.7036 0.7036 0.5000  7 Ba 3.45-3.72
Ag 0.7964 0.7964 0.0000  7 Ba 3.45-3.72

---

No. 3
Compound: TbPrGe
Source: the Alexandria database
Functional: PBE-GGA
Structure: relaxed

Properties
Formation enthalpy at 0 K (kJ/mol of atoms): -39.0
Total magnetization (Bohr magnetons per cell): 0.000
Excess energy over the best structure of this formula in the dataset (meV/atom): 122
Calculated density (g/cm3): 7.29
Space group: Pnnm (58)

a b c (Å): 4.9491 13.8503 4.9480
angles (deg): 90.00 90.00 90.00
With the nearest neighbours (Å) after each atom.
Element x y z (fractional)
Tb 0.2495 0.1150 0.0000  4 Ge 3.10
Tb 0.2505 0.6150 0.5000  4 Ge 3.10
Tb 0.7495 0.3850 0.5000  4 Ge 3.10
Tb 0.7505 0.8850 0.0000  4 Ge 3.10
Pr 0.2496 0.3898 0.0000  4 Ge 3.14, 4 Tb 3.50
Pr 0.2504 0.8898 0.5000  4 Ge 3.14, 4 Tb 3.50
Pr 0.7496 0.1102 0.5000  4 Ge 3.14, 4 Tb 3.50
Pr 0.7504 0.6102 0.0000  4 Ge 3.14, 4 Tb 3.50
Ge 0.2494 0.2500 0.5000  4 Tb 3.10, 4 Pr 3.14
Ge 0.2506 0.7500 0.0000  4 Tb 3.10, 4 Pr 3.14
Ge 0.7494 0.2500 0.0000  4 Tb 3.10, 4 Pr 3.14
Ge 0.7506 0.7500 0.5000  4 Tb 3.10, 4 Pr 3.14

---

No. 4
Compound: Ce3Sm
Source: the Alexandria database
Functional: PBE-GGA
Structure: relaxed

Properties
Formation enthalpy at 0 K (kJ/mol of atoms): 22.7
Total magnetization (Bohr magnetons per cell): 0.000
Excess energy over the best structure of this formula in the dataset (meV/atom): 129
Calculated density (g/cm3): 8.35
Space group: Pmm2 (25)

a b c (Å): 3.3373 4.4002 7.7259
angles (deg): 90.00 90.00 90.00
With the nearest neighbours (Å) after each atom.
Element x y z (fractional)
Ce 0.0000 0.0000 0.0000  2 Ce 2.82
Ce 0.0000 0.5000 0.2292  2 Ce 2.82
Ce 0.5000 0.5000 0.7964  6 Ce 3.18-3.34, 2 Sm 3.24
Sm 0.5000 0.0000 0.4890  6 Ce 3.24-3.41, 2 Sm 3.34

---

No. 5
Compound: AlAgBr2
Source: the Alexandria database
Functional: PBE-GGA
Structure: relaxed

Properties
Uncorrected formation energy (meV per atom): -117
Total magnetization (Bohr magnetons per cell): 0.000
Excess energy over the best structure of this formula in the dataset (meV/atom): 365
Calculated density (g/cm3): 4.38
Space group: C2/m (12)

a b c (Å): 5.6202 5.6202 3.5370
angles (deg): 91.46 91.46 89.95
With the nearest neighbours (Å) after each atom.
Element x y z (fractional)
Al 0.0000 0.0000 0.0000  4 Br 2.81
Ag 0.5000 0.5000 0.0000  4 Br 2.81
Br 0.0000 0.5000 0.0000  2 Al 2.81, 2 Ag 2.81
Br 0.5000 0.0000 0.0000  2 Al 2.81, 2 Ag 2.81

---

No. 6
Compound: Sr3InO
Source: the Alexandria database
Functional: PBE-GGA
Structure: relaxed

Properties
Uncorrected formation energy (meV per atom): -1201
Total magnetization (Bohr magnetons per cell): 0.000
Calculated density (g/cm3): 4.04
Space group: P1 (1)

a b c (Å): 6.6060 7.0971 7.3930
angles (deg): 89.74 71.20 81.23
With the nearest neighbours (Å) after each atom.
Element x y z (fractional)
Sr 0.0000 0.0000 0.0000  1 O 2.50
Sr 0.0485 0.4949 0.7832  2 O 2.49-2.56
Sr 0.2370 0.1290 0.4529  2 O 2.53-2.55
Sr 0.5135 0.3397 0.9423  2 O 2.49-2.55
Sr 0.6223 0.5064 0.4191  1 O 2.48
Sr 0.7080 0.9927 0.6119  2 O 2.51-2.55
In 0.1334 0.6493 0.3133  1 In 3.07
In 0.5232 0.8097 0.0446  1 In 3.07, 2 Sr 3.37-3.44
O 0.4216 0.2877 0.6472  5 Sr 2.48-2.56
O 0.9025 0.1988 0.7508  5 Sr 2.49-2.55

---

No. 7
Compound: TlIn6
Source: the Alexandria database
Functional: PBE-GGA
Structure: relaxed

Properties
Formation enthalpy at 0 K (kJ/mol of atoms): 2.7
Total magnetization (Bohr magnetons per cell): 0.000
Excess energy over the best structure of this formula in the dataset (meV/atom): 0
Calculated density (g/cm3): 7.58
Space group: R-3 (148)

a b c (Å): 8.3690 8.3690 8.3690
angles (deg): 118.32 118.32 118.32
With the nearest neighbours (Å) after each atom.
Element x y z (fractional)
Tl 0.0000 0.0000 0.0000  2 Tl 3.28, 6 In 3.49
In 0.2381 0.6739 0.3783  8 In 3.23-3.47, 1 Tl 3.49
In 0.3261 0.6217 0.7619  8 In 3.23-3.47, 1 Tl 3.49
In 0.3783 0.2381 0.6739  8 In 3.23-3.47, 1 Tl 3.49
In 0.6217 0.7619 0.3261  8 In 3.23-3.47, 1 Tl 3.49
In 0.6739 0.3783 0.2381  8 In 3.23-3.47, 1 Tl 3.49
In 0.7619 0.3261 0.6217  8 In 3.23-3.47, 1 Tl 3.49

---

No. 8
Compound: Cs2YP2S6
Source: the Alexandria database
Functional: PBE-GGA
Structure: relaxed

Properties
Uncorrected formation energy (meV per atom): -888
Total magnetization (Bohr magnetons per cell): 0.000
Calculated density (g/cm3): 3.24
Space group: C2/m (12)

a b c (Å): 7.1046 7.1046 8.1522
angles (deg): 114.49 114.49 59.61
With the nearest neighbours (Å) after each atom.
Element x y z (fractional)
Cs 0.2209 0.2209 0.1956  9 S 3.50-3.71
Cs 0.7791 0.7791 0.8044  9 S 3.50-3.71
Y 0.0000 0.0000 0.5000  6 S 2.71-2.79
P 0.4430 0.4430 0.8169  3 S 2.08-2.11
P 0.5570 0.5570 0.1831  3 S 2.08-2.11
S 0.2359 0.7192 0.2269  1 P 2.08
S 0.2491 0.2491 0.6493  1 P 2.11
S 0.2808 0.7641 0.7731  1 P 2.08
S 0.7192 0.2359 0.2269  1 P 2.08
S 0.7509 0.7509 0.3507  1 P 2.11
S 0.7641 0.2808 0.7731  1 P 2.08

---

No. 9
Compound: Sm2ScS4
Source: the Alexandria database
Functional: PBE-GGA
Structure: relaxed

Properties
Uncorrected formation energy (meV per atom): -2001
Total magnetization (Bohr magnetons per cell): 0.000
Excess energy over the best structure of this formula in the dataset (meV/atom): 0
Calculated density (g/cm3): 5.01
Space group: Pbam (55)

a b c (Å): 7.0995 11.0666 3.9974
angles (deg): 90.00 90.00 90.00
With the nearest neighbours (Å) after each atom.
Element x y z (fractional)
Sm 0.1031 0.1843 0.0000  7 S 2.80-3.07
Sm 0.3969 0.6843 0.0000  7 S 2.80-3.07
Sm 0.6031 0.3157 0.0000  7 S 2.80-3.07
Sm 0.8969 0.8157 0.0000  7 S 2.80-3.07
Sc 0.0000 0.5000 0.5000  6 S 2.53-2.67
Sc 0.5000 0.0000 0.5000  6 S 2.53-2.67
S 0.1239 0.7143 0.5000  1 Sc 2.53, 4 Sm 2.80
S 0.2350 0.4482 0.0000  2 Sc 2.67, 1 Sm 2.85
S 0.2650 0.9482 0.0000  2 Sc 2.67, 1 Sm 2.85
S 0.3761 0.2143 0.5000  1 Sc 2.53, 4 Sm 2.80
S 0.6239 0.7857 0.5000  1 Sc 2.53, 4 Sm 2.80
S 0.7350 0.0518 0.0000  2 Sc 2.67, 1 Sm 2.85
S 0.7650 0.5518 0.0000  2 Sc 2.67, 1 Sm 2.85
S 0.8761 0.2857 0.5000  1 Sc 2.53, 4 Sm 2.80

---

No. 10
Compound: ScSnHg
Source: the Alexandria database
Functional: PBE-GGA
Structure: relaxed

Properties
Formation enthalpy at 0 K (kJ/mol of atoms): -24.6
Total magnetization (Bohr magnetons per cell): 0.000
Calculated density (g/cm3): 8.57
Space group: I4mm (107)

a b c (Å): 6.4949 6.4949 6.4949
angles (deg): 149.45 149.45 43.75
With the nearest neighbours (Å) after each atom.
Element x y z (fractional)
Sc 0.0000 0.0000 0.0000  4 Hg 3.06, 4 Sn 3.13, 4 Sc 3.42
Sn 0.3352 0.3352 0.0000  4 Sc 3.13, 4 Hg 3.25, 4 Sn 3.42
Hg 0.6555 0.6555 0.0000  4 Sc 3.06, 4 Sn 3.25, 4 Hg 3.42

---

No. 11
Compound: LaVN3
Source: the Alexandria database
Functional: PBE-GGA
Structure: relaxed

Properties
Uncorrected formation energy (meV per atom): -983
Total magnetization (Bohr magnetons per cell): 0.000
Calculated density (g/cm3): 5.88
Space group: P1 (1)

a b c (Å): 3.9582 5.7389 5.8052
angles (deg): 94.16 95.09 91.65
With the nearest neighbours (Å) after each atom.
Element x y z (fractional)
La 0.0000 0.0000 0.0000  4 N 2.47-2.70
La 0.0521 0.5117 0.5043  6 N 2.48-2.75
V 0.4855 0.0432 0.4938  3 N 1.76-1.90
V 0.5579 0.4579 0.0064  3 N 1.75-1.95
N 0.0573 0.9566 0.4255  1 V 1.76
N 0.4302 0.7427 0.8480  1 N 1.36
N 0.5075 0.2454 0.7558  2 V 1.82-1.84
N 0.5201 0.2581 0.2614  2 V 1.90-1.95
N 0.6240 0.7665 0.6692  1 N 1.36
N 0.9919 0.5261 0.0662  1 V 1.75

---

No. 12
Compound: Mn10Si3Ge3
Source: the Alexandria database
Functional: PBE-GGA
Structure: relaxed

Properties
Uncorrected formation energy (meV per atom): -209
Total magnetization (Bohr magnetons per cell): 24.963
Calculated density (g/cm3): 6.80
Space group: P-62m (189)

a b c (Å): 7.0117 7.0117 4.8816
angles (deg): 90.00 90.00 120.00
With the nearest neighbours (Å) after each atom.
Element x y z (fractional)
Mn 0.0000 0.2445 0.0000  3 Si 2.42-2.53, 2 Ge 2.67
Mn 0.0000 0.7568 0.5000  3 Ge 2.44-2.52, 2 Si 2.66
Mn 0.2432 0.2432 0.5000  3 Ge 2.44-2.52, 2 Si 2.66
Mn 0.2445 0.0000 0.0000  3 Si 2.42-2.53, 2 Ge 2.67
Mn 0.3333 0.6667 0.2442  2 Mn 2.38-2.50, 3 Si 2.46, 3 Ge 2.48
Mn 0.3333 0.6667 0.7558  2 Mn 2.38-2.50, 3 Si 2.46, 3 Ge 2.48
Mn 0.6667 0.3333 0.2442  2 Mn 2.38-2.50, 3 Si 2.46, 3 Ge 2.48
Mn 0.6667 0.3333 0.7558  2 Mn 2.38-2.50, 3 Si 2.46, 3 Ge 2.48
Mn 0.7555 0.7555 0.0000  3 Si 2.42-2.53, 2 Ge 2.67
Mn 0.7568 0.0000 0.5000  3 Ge 2.44-2.52, 2 Si 2.66
Si 0.0000 0.6057 0.0000  9 Mn 2.42-2.66
Si 0.3943 0.3943 0.0000  9 Mn 2.42-2.66
Si 0.6057 0.0000 0.0000  9 Mn 2.42-2.66
Ge 0.0000 0.3978 0.5000  9 Mn 2.44-2.67
Ge 0.3978 0.0000 0.5000  9 Mn 2.44-2.67
Ge 0.6022 0.6022 0.5000  9 Mn 2.44-2.67